Record 1
First-principles (PBE) data for a relaxed structure of TmIn2Hg, as listed in the Alexandria database.

Symmetry = No. 160
D(E_F) = 0.524 states/eV per atom
VASP energy = -0.1910 Ry/atom

Geometry as extended XYZ:
```
4
Lattice="-0.924 -3.341 2.555 -2.244 -3.335 -1.544 4.900 -5.343 -1.587" Properties=species:S:1:pos:R:3 pbc="T T T"
Hg 0.857 -6.005 -0.285
In 0.597 -3.090 -0.197
In 3.259 -4.484 -1.057
Tm 2.786 -9.792 -0.912
```

---

Record 2
First-principles (PBE) data for a relaxed structure of MgSi2Tc, as listed in the Alexandria database.

Symmetry = No. 139
D(E_F) = 0.873 states/eV per atom
Uncorrected formation energy = -36 meV/atom

Geometry as extended XYZ:
```
4
Lattice="4.597 0.000 0.000 1.162 4.448 0.000 -2.880 -2.224 2.810" Properties=species:S:1:pos:R:3 pbc="T T T"
Si 2.880 2.224 0.000
Si 0.000 0.000 0.000
Tc 0.581 2.224 1.405
Mg 2.299 0.000 1.405
```

---

Record 3
First-principles (PBE) data for a relaxed structure of PuPaNiOs, as listed in the Alexandria database.

Symmetry = No. 216
D(E_F) = 2.415 states/eV per atom
VASP energy = -0.7610 Ry/atom

Geometry as extended XYZ:
```
4
Lattice="4.799 0.000 0.000 2.400 4.156 0.000 2.400 1.385 3.919" Properties=species:S:1:pos:R:3 pbc="T T T"
Os 7.199 4.156 2.939
Pu 4.799 2.771 1.959
Ni 2.400 1.385 0.980
Pa 0.000 0.000 0.000
```

---

Record 4
First-principles (PBE) data for a relaxed structure of AlCuSn2Ir, as listed in the Alexandria database.

Symmetry = No. 123
D(E_F) = 1.070 states/eV per atom
VASP energy = -0.2850 Ry/atom

Geometry as extended XYZ:
```
5
Lattice="-4.477 -2.354 -0.730 2.031 -3.867 0.011 -0.652 -0.329 5.058" Properties=species:S:1:pos:R:3 pbc="T T T"
Sn -2.239 -1.177 -0.365
Sn -0.326 -0.164 2.529
Cu 1.016 -1.933 0.005
Al 0.000 0.000 0.000
Ir -1.549 -3.275 2.169
```

---

Record 5
First-principles (PBE) data for a relaxed structure of MnAg3Cl6, as listed in the Alexandria database.

Symmetry = No. 148
D(E_F) = 0.379 states/eV per atom
Energy above the most stable polymorph in this dataset = 8 meV/atom
Uncorrected formation energy = -625 meV/atom

Geometry as extended XYZ:
```
20
Lattice="-1.258 -3.305 -6.984 3.406 -6.558 2.583 -6.964 -2.517 2.540" Properties=species:S:1:pos:R:3 pbc="T T T"
Cl -3.722 -4.100 -0.882
Cl -1.905 -8.054 3.758
Cl -3.641 -6.998 -2.912
Cl -5.649 -4.493 2.581
Cl -2.911 -4.326 -5.619
Cl -1.175 -5.381 1.050
Cl -1.094 -8.280 -0.980
Cl 2.294 -7.288 0.617
Cl -0.750 -5.035 -2.351
Cl -7.110 -5.091 -2.478
Cl -4.066 -7.345 0.489
Cl 0.833 -7.886 -4.442
Ag -5.924 -7.715 -1.738
Ag -3.129 -3.272 1.581
Ag -1.687 -9.107 -3.442
Ag -2.611 -9.451 1.229
Ag 1.108 -4.664 -0.124
Ag -2.205 -2.929 -3.091
Mn -2.408 -6.190 -0.931
Mn 0.000 0.000 0.000
```

---

Record 6
First-principles (PBE) data for a relaxed structure of CaZn2Te, as listed in the Alexandria database.

Symmetry = No. 122
D(E_F) = 0.013 states/eV per atom
Uncorrected formation energy = -339 meV/atom

Geometry as extended XYZ:
```
8
Lattice="-0.025 3.099 -7.797 -6.838 -4.526 -1.777 -5.148 1.529 -3.891" Properties=species:S:1:pos:R:3 pbc="T T T"
Ca -7.709 -1.855 -5.228
Ca -3.431 -0.713 -4.787
Te 0.000 0.000 0.000
Te -4.302 1.957 -8.238
Zn -2.158 1.839 -6.283
Zn -5.563 -2.145 -2.843
Zn -10.055 -0.227 -11.345
Zn -6.246 0.736 -6.460
```

---

Record 7
First-principles (PBE) data for a relaxed structure of BaInAg3Sn, as listed in the Alexandria database.

Symmetry = No. 63
D(E_F) = 0.349 states/eV per atom
VASP energy = -0.2205 Ry/atom

Geometry as extended XYZ:
```
12
Lattice="7.003 0.000 0.000 0.000 7.050 0.000 0.000 -3.525 6.778" Properties=species:S:1:pos:R:3 pbc="T T T"
Ag 0.000 2.109 0.000
Ag 3.502 4.941 0.000
Ag 5.252 3.525 4.609
Ag 3.502 2.109 0.000
Ag 0.000 4.941 0.000
Ag 1.751 0.000 2.169
In 5.252 0.000 0.614
In 1.751 3.525 6.164
Ba 1.751 3.525 2.773
Ba 5.252 0.000 4.005
Sn 5.252 3.525 1.788
Sn 1.751 0.000 4.990
```

---

Record 8
First-principles (PBE) data for a relaxed structure of Zr3Te, as listed in the Alexandria database.

Symmetry = No. 10
D(E_F) = 1.137 states/eV per atom
Uncorrected formation energy = -202 meV/atom

Geometry as extended XYZ:
```
4
Lattice="-3.664 3.208 1.607 -2.377 -2.065 -1.298 -0.444 -2.784 4.546" Properties=species:S:1:pos:R:3 pbc="T T T"
Zr -1.411 -2.425 1.624
Zr -4.034 -2.086 3.148
Zr -2.451 0.444 1.707
Te 0.000 0.000 0.000
```

---

Record 9
First-principles (PBE) data for a relaxed structure of Pr3Sm3Tl2Hg, as listed in the Alexandria database.

Symmetry = No. 189
D(E_F) = 1.254 states/eV per atom
VASP energy = -0.2937 Ry/atom

Geometry as extended XYZ:
```
9
Lattice="-2.461 -1.994 -2.168 7.053 -4.028 -4.301 -3.562 -3.825 7.560" Properties=species:S:1:pos:R:3 pbc="T T T"
Sm 2.124 -4.778 1.983
Sm -1.395 -1.497 2.960
Sm 2.761 -1.577 -1.684
Tl -1.254 -4.890 2.522
Tl 2.284 -4.957 -1.432
Pr 3.871 -3.910 -4.195
Pr -3.807 -3.763 4.383
Pr -0.264 -3.170 -0.182
Hg 0.000 0.000 0.000
```

---

Record 10
First-principles (PBE) data for a relaxed structure of PmAg4Ge2, as listed in the Alexandria database.

Symmetry = No. 65
D(E_F) = 0.302 states/eV per atom
Energy above the most stable polymorph in this dataset = 0 meV/atom

Geometry as extended XYZ:
```
7
Lattice="4.185 0.000 0.000 0.000 4.044 -1.201 0.000 0.218 8.143" Properties=species:S:1:pos:R:3 pbc="T T T"
Pm 0.000 0.000 0.000
Ge 2.093 2.370 0.572
Ge 2.093 1.892 6.370
Ag 0.000 2.848 2.179
Ag 0.000 1.414 4.762
Ag 2.093 0.817 2.749
Ag 2.093 3.446 4.193
```

---

Question: Look up the D(E_F) of the tenth one.
Answer: 0.302 states/eV per atom

---

What did the tenth record say?
First-principles (PBE) data for a relaxed structure of PmAg4Ge2, as listed in the Alexandria database.

Symmetry = No. 65
D(E_F) = 0.302 states/eV per atom
Energy above the most stable polymorph in this dataset = 0 meV/atom

Geometry as extended XYZ:
```
7
Lattice="4.185 0.000 0.000 0.000 4.044 -1.201 0.000 0.218 8.143" Properties=species:S:1:pos:R:3 pbc="T T T"
Pm 0.000 0.000 0.000
Ge 2.093 2.370 0.572
Ge 2.093 1.892 6.370
Ag 0.000 2.848 2.179
Ag 0.000 1.414 4.762
Ag 2.093 0.817 2.749
Ag 2.093 3.446 4.193
```